# Np2AlB2Os5 PBE optimized geometry
data_Np2AlB2Os5
_chemical_formula_sum 'Np4 Al2 B4 Os10'
_cell_length_a 9.670
_cell_length_b 9.670
_cell_length_c 3.060
_cell_angle_alpha 90.00
_cell_angle_beta 90.00
_cell_angle_gamma 90.00
_space_group_name_H-M_alt 'P 1'
_space_group_IT_number 1
_space_group_name_Hall 'P 1'
loop_
_atom_site_label
_atom_site_type_symbol
_atom_site_fract_x
_atom_site_fract_y
_atom_site_fract_z
_atom_site_occupancy
Np1 Np 0.178 0.322 0.000 1
Np2 Np 0.322 0.822 0.000 1
Np3 Np 0.678 0.178 0.000 1
Np4 Np 0.822 0.678 0.000 1
Al1 Al 0.000 0.000 0.000 1
Al2 Al 0.500 0.500 0.000 1
B1 B 0.123 0.623 0.000 1
B2 B 0.377 0.123 0.000 1
B3 B 0.623 0.877 0.000 1
B4 B 0.877 0.377 0.000 1
Os1 Os 0.000 0.500 0.500 1
Os2 Os 0.069 0.783 0.500 1
Os3 Os 0.217 0.069 0.500 1
Os4 Os 0.283 0.569 0.500 1
Os5 Os 0.431 0.283 0.500 1
Os6 Os 0.500 0.000 0.500 1
Os7 Os 0.569 0.717 0.500 1
Os8 Os 0.717 0.431 0.500 1
Os9 Os 0.783 0.931 0.500 1
Os10 Os 0.931 0.217 0.500 1
# * crystal system: tetragonal
# * symmetry: P4/mbm
# * calculated total energy: -203.00 eV per cell
# * formation enthalpy at 0 K: -0.24 eV/atom
# * calculated volume: 286 Å³/cell

***

# Al2BO6 PBE optimized geometry
data_Al2BO6
_chemical_formula_sum 'Al4 B2 O12'
_cell_length_a 4.266
_cell_length_b 4.266
_cell_length_c 8.289
_cell_angle_alpha 90.00
_cell_angle_beta 90.00
_cell_angle_gamma 90.00
_space_group_name_H-M_alt 'P 1'
_space_group_IT_number 1
_space_group_name_Hall 'P 1'
loop_
_atom_site_label
_atom_site_type_symbol
_atom_site_fract_x
_atom_site_fract_y
_atom_site_fract_z
_atom_site_occupancy
Al1 Al 0.000 0.000 0.170 1
Al2 Al 0.000 0.000 0.830 1
Al3 Al 0.500 0.500 0.330 1
Al4 Al 0.500 0.500 0.670 1
B1 B 0.000 0.000 0.500 1
B2 B 0.500 0.500 0.000 1
O1 O 0.191 0.191 0.349 1
O2 O 0.191 0.191 0.651 1
O3 O 0.221 0.221 0.000 1
O4 O 0.279 0.721 0.500 1
O5 O 0.309 0.691 0.151 1
O6 O 0.309 0.691 0.849 1
O7 O 0.691 0.309 0.151 1
O8 O 0.691 0.309 0.849 1
O9 O 0.721 0.279 0.500 1
O10 O 0.779 0.779 0.000 1
O11 O 0.809 0.809 0.349 1
O12 O 0.809 0.809 0.651 1
# * uncorrected formation energy: -1.673 eV/atom
# * crystal system: tetragonal
# * symmetry: P4_2/mnm
# * calculated total energy: -117.94 eV per cell
# * calculated volume: 151 Å³/cell

***

# AlB2O2 PBE optimized geometry
data_AlB2O2
_chemical_formula_sum 'Al2 B4 O4'
_cell_length_a 9.183
_cell_length_b 9.183
_cell_length_c 2.376
_cell_angle_alpha 90.00
_cell_angle_beta 90.00
_cell_angle_gamma 90.00
_space_group_name_H-M_alt 'P 1'
_space_group_IT_number 1
_space_group_name_Hall 'P 1'
loop_
_atom_site_label
_atom_site_type_symbol
_atom_site_fract_x
_atom_site_fract_y
_atom_site_fract_z
_atom_site_occupancy
Al1 Al 0.000 0.000 0.000 1
Al2 Al 0.500 0.500 0.000 1
B1 B 0.067 0.433 0.000 1
B2 B 0.433 0.933 0.000 1
B3 B 0.567 0.067 0.000 1
B4 B 0.933 0.567 0.000 1
O1 O 0.122 0.378 0.500 1
O2 O 0.378 0.878 0.500 1
O3 O 0.622 0.122 0.500 1
O4 O 0.878 0.622 0.500 1
# * uncorrected formation energy: -1.044 eV/atom
# * crystal system: tetragonal
# * symmetry: P4/mbm
# * calculated total energy: -64.46 eV per cell
# * calculated volume: 200 Å³/cell
# * energy relative to the lowest polymorph listed for this composition: 0.0 meV per atom

***

Q: What is the calculated volume in the third record?
A: 200 Å³/cell